1.
# PBE-GGA Na3Pr2TmSe6, optimized geometry
data_Na3Pr2TmSe6
_symmetry_space_group_name_H-M 'C 1 2/m 1'
_symmetry_Int_Tables_number 12
_symmetry_space_group_name_Hall '-C 2y'
_cell_length_a 7.350
_cell_length_b 12.736
_cell_length_c 7.436
_cell_angle_alpha 90.00
_cell_angle_beta 109.27
_cell_angle_gamma 90.00
loop_
_atom_site_label
_atom_site_type_symbol
_atom_site_fract_x
_atom_site_fract_y
_atom_site_fract_z
Na1 Na 0.000 0.000 0.000
Na2 Na 0.000 0.332 0.000
Pr1 Pr 0.000 0.166 0.500
Tm1 Tm 0.000 0.500 0.500
Se1 Se 0.238 0.340 0.734
Se2 Se 0.243 0.500 0.267
# Calculated total energy: -118.09 eV/cell

***

2.
# PBE-GGA AcAlZn2Ga, optimized geometry
data_AcAlZn2Ga
_symmetry_space_group_name_H-M 'I -4 m 2'
_symmetry_Int_Tables_number 119
_symmetry_space_group_name_Hall 'I -4 -2'
_cell_length_a 4.386
_cell_length_b 4.386
_cell_length_c 11.005
_cell_angle_alpha 90.00
_cell_angle_beta 90.00
_cell_angle_gamma 90.00
loop_
_atom_site_label
_atom_site_type_symbol
_atom_site_fract_x
_atom_site_fract_y
_atom_site_fract_z
Ac1 Ac 0.000 0.000 0.000
Al1 Al 0.000 0.500 0.250
Zn1 Zn 0.000 0.000 0.384
Ga1 Ga 0.000 0.500 0.750
# ΔE_f: -0.422 eV per atom

***

3.
# PBE-GGA Cd2Pb3, optimized geometry
data_Cd2Pb3
_symmetry_space_group_name_H-M 'R -3 c'
_symmetry_Int_Tables_number 167
_symmetry_space_group_name_Hall '-R 3 2"c'
_cell_length_a 9.4117
_cell_length_b 9.4117
_cell_length_c 11.3345
_cell_angle_alpha 90.00
_cell_angle_beta 90.00
_cell_angle_gamma 120.00
loop_
_atom_site_label
_atom_site_type_symbol
_atom_site_fract_x
_atom_site_fract_y
_atom_site_fract_z
Cd1 Cd 0.0000 0.0000 0.1242
Pb1 Pb 0.0000 0.3225 0.2500
# Offset from the most stable computed form: 30 meV/atom
# ΔE_f: 0.071 eV per atom

***

4.
# PBE-GGA Sc2H2O, optimized geometry
data_Sc2H2O
_symmetry_space_group_name_H-M 'I 4/m m m'
_symmetry_Int_Tables_number 139
_symmetry_space_group_name_Hall '-I 4 2'
_cell_length_a 2.969
_cell_length_b 2.969
_cell_length_c 10.783
_cell_angle_alpha 90.00
_cell_angle_beta 90.00
_cell_angle_gamma 90.00
loop_
_atom_site_label
_atom_site_type_symbol
_atom_site_fract_x
_atom_site_fract_y
_atom_site_fract_z
Sc1 Sc 0.000 0.000 0.129
H1 H 0.000 0.500 0.250
O1 O 0.000 0.000 0.500
# Offset from the most stable computed form: 74 meV/atom

***

5.
# PBE-GGA IrSe2Cl, optimized geometry
data_IrSe2Cl
_symmetry_space_group_name_H-M 'P 4/m m m'
_symmetry_Int_Tables_number 123
_symmetry_space_group_name_Hall '-P 4 2'
_cell_length_a 3.634
_cell_length_b 3.634
_cell_length_c 6.626
_cell_angle_alpha 90.00
_cell_angle_beta 90.00
_cell_angle_gamma 90.00
loop_
_atom_site_label
_atom_site_type_symbol
_atom_site_fract_x
_atom_site_fract_y
_atom_site_fract_z
Ir1 Ir 0.000 0.000 0.000
Se1 Se 0.000 0.500 0.500
Cl1 Cl 0.500 0.500 0.000
# Offset from the most stable computed form: 1173 meV/atom

***

6.
# PBE-GGA BeIn2Cl, optimized geometry
data_BeIn2Cl
_symmetry_space_group_name_H-M 'C 1 2/m 1'
_symmetry_Int_Tables_number 12
_symmetry_space_group_name_Hall '-C 2y'
_cell_length_a 7.944
_cell_length_b 7.566
_cell_length_c 3.203
_cell_angle_alpha 90.00
_cell_angle_beta 110.93
_cell_angle_gamma 90.00
loop_
_atom_site_label
_atom_site_type_symbol
_atom_site_fract_x
_atom_site_fract_y
_atom_site_fract_z
Be1 Be 0.000 0.000 0.000
In1 In 0.250 0.250 0.500
Cl1 Cl 0.000 0.500 0.000
# Offset from the most stable computed form: 222 meV/atom

***

7.
# PBE-GGA TcTeOs2, optimized geometry
data_TcTeOs2
_symmetry_space_group_name_H-M 'C 1 2/m 1'
_symmetry_Int_Tables_number 12
_symmetry_space_group_name_Hall '-C 2y'
_cell_length_a 9.519
_cell_length_b 2.953
_cell_length_c 4.655
_cell_angle_alpha 90.00
_cell_angle_beta 95.60
_cell_angle_gamma 90.00
loop_
_atom_site_label
_atom_site_type_symbol
_atom_site_fract_x
_atom_site_fract_y
_atom_site_fract_z
Tc1 Tc 0.000 0.000 0.000
Te1 Te 0.000 0.500 0.500
Os1 Os 0.229 0.500 0.225
# Offset from the most stable computed form: 0 meV/atom

***

8.
# PBE-GGA Nd3H3N, optimized geometry
data_Nd3H3N
_symmetry_space_group_name_H-M 'R -3'
_symmetry_Int_Tables_number 148
_symmetry_space_group_name_Hall '-R 3'
_cell_length_a 6.5934
_cell_length_b 6.5934
_cell_length_c 18.2665
_cell_angle_alpha 90.00
_cell_angle_beta 90.00
_cell_angle_gamma 120.00
loop_
_atom_site_label
_atom_site_type_symbol
_atom_site_fract_x
_atom_site_fract_y
_atom_site_fract_z
Nd1 Nd 0.0014 0.3523 0.0797
H1 H 0.0000 0.3208 0.8760
N1 N 0.0000 0.0000 0.3330
# Calculated total energy: -228.73 eV/cell

***

9.
# PBE-GGA Pa3InTc2, optimized geometry
data_Pa3InTc2
_symmetry_space_group_name_H-M 'P 4/m m m'
_symmetry_Int_Tables_number 123
_symmetry_space_group_name_Hall '-P 4 2'
_cell_length_a 3.288
_cell_length_b 3.288
_cell_length_c 12.285
_cell_angle_alpha 90.00
_cell_angle_beta 90.00
_cell_angle_gamma 90.00
loop_
_atom_site_label
_atom_site_type_symbol
_atom_site_fract_x
_atom_site_fract_y
_atom_site_fract_z
Pa1 Pa 0.000 0.000 0.000
Pa2 Pa 0.000 0.000 0.295
In1 In 0.500 0.500 0.500
Tc1 Tc 0.500 0.500 0.149
# ΔE_f: -0.168 eV per atom

***

10.
# PBE-GGA KInCu2, optimized geometry
data_KInCu2
_symmetry_space_group_name_H-M 'I m m 2'
_symmetry_Int_Tables_number 44
_symmetry_space_group_name_Hall 'I 2 -2'
_cell_length_a 2.956
_cell_length_b 5.371
_cell_length_c 10.820
_cell_angle_alpha 90.00
_cell_angle_beta 90.00
_cell_angle_gamma 90.00
loop_
_atom_site_label
_atom_site_type_symbol
_atom_site_fract_x
_atom_site_fract_y
_atom_site_fract_z
K1 K 0.000 0.000 0.000
In1 In 0.000 0.500 0.201
Cu1 Cu 0.000 0.000 0.479
Cu2 Cu 0.000 0.500 0.795
# Offset from the most stable computed form: 246 meV/atom
# ΔE_f: 0.291 eV per atom

***

11.
# PBE-GGA SiAgMo2, optimized geometry
data_SiAgMo2
_symmetry_space_group_name_H-M 'P 4 m m'
_symmetry_Int_Tables_number 99
_symmetry_space_group_name_Hall 'P 4 -2'
_cell_length_a 3.293
_cell_length_b 3.293
_cell_length_c 5.856
_cell_angle_alpha 90.00
_cell_angle_beta 90.00
_cell_angle_gamma 90.00
loop_
_atom_site_label
_atom_site_type_symbol
_atom_site_fract_x
_atom_site_fract_y
_atom_site_fract_z
Si1 Si 0.000 0.000 0.000
Ag1 Ag 0.500 0.500 0.237
Mo1 Mo 0.000 0.000 0.534
Mo2 Mo 0.500 0.500 0.747
# Calculated total energy: -28.98 eV/cell

***

12.
# PBE-GGA NdHoPt, optimized geometry
data_NdHoPt
_symmetry_space_group_name_H-M 'P 1 21/c 1'
_symmetry_Int_Tables_number 14
_symmetry_space_group_name_Hall '-P 2ybc'
_cell_length_a 7.035
_cell_length_b 5.886
_cell_length_c 10.681
_cell_angle_alpha 90.00
_cell_angle_beta 127.11
_cell_angle_gamma 90.00
loop_
_atom_site_label
_atom_site_type_symbol
_atom_site_fract_x
_atom_site_fract_y
_atom_site_fract_z
Nd1 Nd 0.190 0.145 0.382
Ho1 Ho 0.330 0.624 0.633
Pt1 Pt 0.326 0.658 0.365
# Offset from the most stable computed form: 117 meV/atom
# ΔE_f: -0.749 eV per atom